No. 1
This record from Alexandria via LeMat-Bulk describes an optimized crystal structure of Nd2MgSi4Pt3. The functional is PBE.

It has space group P-4m2 (No. 115), with a = 4.233 Å, b = 4.233 Å, c = 10.336 Å, α = 90.00°, β = 90.00° and γ = 90.00°. Symmetry generates all atoms from Nd at (0.000, 0.500, 0.242), Mg at (0.000, 0.000, 0.500), Si at (0.000, 0.000, 0.000), Si at (0.000, 0.500, 0.648), Si at (0.500, 0.500, 0.000), Pt at (0.000, 0.500, 0.884) and Pt at (0.500, 0.500, 0.500).

The crystal system is tetragonal. The density comes out at 9060 kg/m³. The calculation puts the density of states at the Fermi level at 3.91 states/eV/f.u. The calculation puts the uncorrected formation energy at -22.792 kcal/mol of atoms.

***

No. 2
This record from Alexandria via LeMat-Bulk describes an optimized crystal structure of Nd3MgSi2Pt9. The functional is PBE.

It has space group P-3m1 (No. 164), with a = 5.7714 Å, b = 5.7714 Å, c = 10.7565 Å, α = 90.00°, β = 90.00° and γ = 120.00°. Symmetry generates all atoms from Nd at (0.0000, 0.0000, 0.0000), Nd at (0.3333, 0.6667, 0.5971), Mg at (0.0000, 0.0000, 0.5000), Si at (0.3333, 0.6667, 0.1602), Pt at (0.0000, 0.5000, 0.0000) and Pt at (0.1613, 0.3225, 0.3090).

The crystal system is trigonal. The density comes out at 12143 kg/m³. The calculation puts the density of states at the Fermi level at 4.98 states/eV/f.u. The calculation puts the uncorrected formation energy at -18.669 kcal/mol of atoms.

***

No. 3
This record from Alexandria via LeMat-Bulk describes an optimized crystal structure of Nd3MgSi6Pt2. The functional is PBE.

It has space group P-3m1 (No. 164), with a = 5.9319 Å, b = 5.9319 Å, c = 8.1561 Å, α = 90.00°, β = 90.00° and γ = 120.00°. Symmetry generates all atoms from Nd at (0.0000, 0.0000, 0.0000), Nd at (0.3333, 0.6667, 0.6339), Mg at (0.0000, 0.0000, 0.5000), Si at (0.1980, 0.3961, 0.2823) and Pt at (0.3333, 0.6667, 0.0323).

The crystal system is trigonal. The density comes out at 6786 kg/m³. The calculation puts the density of states at the Fermi level at 4.31 states/eV/f.u. The calculation puts the uncorrected formation energy at -10.125 kcal/mol of atoms.

***

No. 4
This record from Alexandria via LeMat-Bulk describes an optimized crystal structure of Nd2Mg2Si4Pt. The functional is PBE.

It has space group I4/mmm (No. 139), with a = 6.354 Å, b = 6.354 Å, c = 8.834 Å, α = 90.00°, β = 90.00° and γ = 90.00°. Symmetry generates all atoms from Nd at (0.000, 0.500, 0.250), Mg at (0.000, 0.000, 0.208), Si at (0.223, 0.223, 0.000) and Pt at (0.000, 0.000, 0.500).

The crystal system is tetragonal. The density comes out at 6001 kg/m³. The calculation puts the density of states at the Fermi level at 3.17 states/eV/f.u. The calculation puts the uncorrected formation energy at -11.094 kcal/mol of atoms.

***

No. 5
This record from Alexandria via LeMat-Bulk describes an optimized crystal structure of NdSmMgPt. The functional is PBE.

It has space group F-43m (No. 216), with a = 7.389 Å, b = 7.389 Å, c = 7.389 Å, α = 90.00°, β = 90.00° and γ = 90.00°. Symmetry generates all atoms from Nd at (0.000, 0.000, 0.000), Sm at (0.000, 0.000, 0.500), Mg at (0.250, 0.250, 0.750) and Pt at (0.250, 0.250, 0.250).

The crystal system is cubic. The density comes out at 8461 kg/m³. The calculation puts the density of states at the Fermi level at 3.63 states/eV/f.u. For the total energy, the calculation gives -4.7852 eV per atom.

***

No. 6
This record from Alexandria via LeMat-Bulk describes an optimized crystal structure of Nd2MgSn4Pt3. The functional is PBE.

It has space group P-4m2 (No. 115), with a = 4.453 Å, b = 4.453 Å, c = 11.639 Å, α = 90.00°, β = 90.00° and γ = 90.00°. Symmetry generates all atoms from Nd at (0.000, 0.500, 0.250), Mg at (0.000, 0.000, 0.500), Sn at (0.000, 0.000, 0.000), Sn at (0.000, 0.500, 0.643), Sn at (0.500, 0.500, 0.000), Pt at (0.000, 0.500, 0.868) and Pt at (0.500, 0.500, 0.500).

The crystal system is tetragonal. The density comes out at 9878 kg/m³. The calculation puts the density of states at the Fermi level at 3.15 states/eV/f.u. For the total energy, the calculation gives -5.3086 eV per atom.